{
  "formula": "DyPu2As3",
  "functional": "PBE-GGA",
  "state": "optimized geometry",
  "lattice_angstrom": [[7.0283, 0.0282, -1.2999], [-2.6927, 6.4921, -1.2999], [-0.0067, -0.0101, 13.0548]],
  "species": ["As", "As", "As", "As", "As", "As", "As", "As", "As", "As", "As", "As", "Pu", "Pu", "Pu", "Pu", "Pu", "Pu", "Pu", "Pu", "Dy", "Dy", "Dy", "Dy"],
  "fractional_positions": [[0.5830, 0.5813, 0.6659], [0.7482, 0.7482, 0.0000], [0.4187, 0.4170, 0.3341], [0.6670, 0.1687, 0.8341], [0.3347, 0.8329, 0.1659], [0.8313, 0.3330, 0.1659], [0.2518, 0.2518, 0.0000], [0.9153, 0.9171, 0.3341], [0.1671, 0.6653, 0.8341], [0.5018, 0.0018, 0.5000], [0.9982, 0.4982, 0.5000], [0.0829, 0.0847, 0.6659], [0.4164, 0.4164, 0.8328], [0.0003, 0.5003, 0.0006], [0.2497, 0.2497, 0.4994], [0.6664, 0.1664, 0.3328], [0.4997, 0.9997, 0.9994], [0.5836, 0.5836, 0.1672], [0.8336, 0.3336, 0.6672], [0.7503, 0.7503, 0.5006], [0.1667, 0.6667, 0.3334], [0.9167, 0.9167, 0.8334], [0.0833, 0.0833, 0.1666], [0.3333, 0.8333, 0.6666]],
  "sg": "No. 70",
  "n_ef_per_ev_cell": 81.522,
  "magnetic_moment_mub_per_fu": 9.93,
  "formation_enthalpy_0k_mev_per_atom": -1192,
  "total_energy_ev_per_cell": -217.47,
  "volume_a3_per_cell": 596.5
}